[1]
Below is an optimized crystal structure of La4MnSe, with properties calculated at the PBE level.

## Properties
The value obtained for the formation energy without anion corrections is 342 meV per atom. As for the total moment: 13.0 μB per cell. Its density of states at the Fermi level is 10.0 states/eV/f.u. The total energy is -5.051 eV per atom.

a = 9.0393 Å, b = 9.0393 Å, c = 9.0393 Å
α = 90.00°, β = 90.00°, γ = 90.00°
Last column: nearest neighbours and their distance in Å.
Space group F-43m (No. 216)
Asymmetric unit:
La: 0.1244 0.1244 0.1244 [16 per cell]  6 La 3.18-3.21
Mn: 0.2500 0.2500 0.7500 [4 per cell]  12 La 3.75, 4 Se 3.91
Se: 0.0000 0.0000 0.5000 [4 per cell]  12 La 3.75, 4 Mn 3.91



[2]
Below is an optimized crystal structure of LaMnSe2, with properties calculated at the PBE level.

## Properties
The value obtained for the formation energy without anion corrections is -1124 meV per atom. As for the total moment: 4.4 μB per cell. Its density of states at the Fermi level is 2.0 states/eV/f.u. The total energy is -6.391 eV per atom.

a = 11.7275 Å, b = 8.6890 Å, c = 4.1603 Å
α = 90.00°, β = 103.64°, γ = 90.00°
Last column: nearest neighbours and their distance in Å.
Space group Cm (No. 8)
Asymmetric unit:
La: 0.0000 0.2420 0.0000 [4 per cell]  6 Se 2.95-3.12
Mn: 0.1674 0.0000 0.5335 [2 per cell]  1 Mn 1.97
Mn: 0.2543 0.0000 0.1816 [2 per cell]  1 Mn 1.97
Se: 0.2328 0.2290 0.8458 [4 per cell]  2 Mn 2.40-2.41
Se: 0.4476 0.5000 0.4540 [2 per cell]  1 Mn 2.52
Se: 0.4660 0.0000 0.4636 [2 per cell]  1 Mn 2.48



[3]
Below is an optimized crystal structure of LaMnSe2, with properties calculated at the PBE level.

## Properties
The value obtained for the formation energy without anion corrections is -1182 meV per atom. As for the total moment: 1.6 μB per cell. Its density of states at the Fermi level is 2.0 states/eV/f.u. The total energy is -6.448 eV per atom.

a = 4.5207 Å, b = 4.0223 Å, c = 11.0782 Å
α = 90.00°, β = 90.68°, γ = 90.00°
Last column: nearest neighbours and their distance in Å.
Space group Pm (No. 6)
Asymmetric unit:
La: 0.0000 0.0000 0.0000 [1 per cell]  7 Se 2.98-3.31
La: 0.0026 0.0000 0.4029 [1 per cell]  7 Se 3.03-3.30, 2 Mn 3.21-3.26
Mn: 0.3468 0.5000 0.7205 [1 per cell]  2 Mn 2.45, 3 Se 2.47-2.57
Mn: 0.5002 0.0000 0.6120 [1 per cell]  4 Se 2.44-2.50, 2 Mn 2.45
Se: 0.4964 0.5000 0.9359 [1 per cell]  1 Mn 2.47
Se: 0.5080 0.5000 0.4776 [1 per cell]  3 Mn 2.50-2.80
Se: 0.9942 0.5000 0.1987 [1 per cell]  4 La 2.98-3.03
Se: 0.9963 0.0000 0.7010 [1 per cell]  4 Mn 2.44-2.57